Entry 1:
Density functional theory data (PBE) for Tb7Dy16Y6 after structural relaxation.

a = 11.1065 Å, b = 11.1065 Å, c = 11.1065 Å
α = 60.00°, β = 60.00°, γ = 60.00°
Closest atoms and distances in Å follow each position.
Sites, in units of the cell vectors:
Tb 0.0000 0.0000 0.0000  8 Dy 3.35
Tb 0.5000 0.0000 0.5000  8 Dy 3.23-3.42
Tb 0.0000 0.5000 0.0000  8 Dy 3.23-3.42
Tb 0.0000 0.5000 0.5000  8 Dy 3.23-3.42
Tb 0.5000 0.0000 0.0000  8 Dy 3.23-3.42
Tb 0.0000 0.0000 0.5000  8 Dy 3.23-3.42
Tb 0.5000 0.5000 0.0000  8 Dy 3.23-3.42
Dy 0.8768 0.8768 0.3696  4 Tb 3.35-3.42, 3 Dy 3.58, 3 Y 3.67
Dy 0.8768 0.8768 0.8768  4 Tb 3.35-3.42, 3 Dy 3.58, 3 Y 3.67
Dy 0.8768 0.3696 0.8768  4 Tb 3.35-3.42, 3 Dy 3.58, 3 Y 3.67
Dy 0.3696 0.8768 0.8768  4 Tb 3.35-3.42, 3 Dy 3.58, 3 Y 3.67
Dy 0.1232 0.1232 0.1232  4 Tb 3.35-3.42, 3 Dy 3.58, 3 Y 3.67
Dy 0.1232 0.1232 0.6304  4 Tb 3.35-3.42, 3 Dy 3.58, 3 Y 3.67
Dy 0.1232 0.6304 0.1232  4 Tb 3.35-3.42, 3 Dy 3.58, 3 Y 3.67
Dy 0.6304 0.1232 0.1232  4 Tb 3.35-3.42, 3 Dy 3.58, 3 Y 3.67
Dy 0.6528 0.6528 0.0415  3 Tb 3.23, 3 Y 3.56, 3 Dy 3.58
Dy 0.6528 0.6528 0.6528  3 Tb 3.23, 3 Y 3.56, 3 Dy 3.58
Dy 0.6528 0.0415 0.6528  3 Tb 3.23, 3 Y 3.56, 3 Dy 3.58
Dy 0.0415 0.6528 0.6528  3 Tb 3.23, 3 Y 3.56, 3 Dy 3.58
Dy 0.3472 0.3472 0.3472  3 Tb 3.23, 3 Y 3.56, 3 Dy 3.58
Dy 0.3472 0.3472 0.9585  3 Tb 3.23, 3 Y 3.56, 3 Dy 3.58
Dy 0.3472 0.9585 0.3472  3 Tb 3.23, 3 Y 3.56, 3 Dy 3.58
Dy 0.9585 0.3472 0.3472  3 Tb 3.23, 3 Y 3.56, 3 Dy 3.58
Y 0.2790 0.7210 0.2790  8 Dy 3.56-3.67, 4 Tb 3.95
Y 0.7210 0.2790 0.7210  8 Dy 3.56-3.67, 4 Tb 3.95
Y 0.7210 0.2790 0.2790  8 Dy 3.56-3.67, 4 Tb 3.95
Y 0.2790 0.7210 0.7210  8 Dy 3.56-3.67, 4 Tb 3.95
Y 0.7210 0.7210 0.2790  8 Dy 3.56-3.67, 4 Tb 3.95
Y 0.2790 0.2790 0.7210  8 Dy 3.56-3.67, 4 Tb 3.95

Computed properties:
Formation energy from the elements ... 0.233 eV per atom
Space-group type ... Fm-3m (225)
DOS at the Fermi energy ... 58.2 states/eV/f.u.
Uncorrected energy ... -138.1 eV per cell

---

Entry 2:
Density functional theory data (PBE) for Tb3Dy4Y5 after structural relaxation.

a = 5.8762 Å, b = 8.5619 Å, c = 9.6342 Å
α = 106.17°, β = 72.24°, γ = 69.93°
Closest atoms and distances in Å follow each position.
Sites, in units of the cell vectors:
Tb 0.5217 0.6869 0.2696  5 Y 3.07-3.43, 2 Dy 3.29-3.40
Tb 0.0000 0.5000 0.5000  2 Y 2.94
Tb 0.4783 0.3131 0.7304  5 Y 3.07-3.43, 2 Dy 3.29-3.40
Dy 0.8599 0.2213 0.0589  1 Dy 3.25, 1 Tb 3.40, 3 Y 3.42-3.55
Dy 0.1653 0.0484 0.6210  3 Tb 3.29-3.51, 3 Dy 3.56-3.65, 3 Y 3.61-3.65
Dy 0.8347 0.9516 0.3790  3 Tb 3.29-3.51, 3 Dy 3.56-3.65, 3 Y 3.61-3.65
Dy 0.1401 0.7787 0.9411  1 Dy 3.25, 1 Tb 3.40, 3 Y 3.42-3.55
Y 0.6275 0.9470 0.7980  2 Tb 3.26-3.46, 1 Y 3.43, 2 Dy 3.61
Y 0.5000 0.5000 0.5000  4 Tb 2.94-3.07
Y 0.2138 0.4591 0.1133  4 Tb 3.19-3.43, 3 Dy 3.42-3.55
Y 0.7862 0.5409 0.8867  4 Tb 3.19-3.43, 3 Dy 3.42-3.55
Y 0.3725 0.0530 0.2020  2 Tb 3.26-3.46, 1 Y 3.43, 2 Dy 3.61

Computed properties:
Formation energy from the elements ... 0.237 eV per atom
Energy relative to the lowest polymorph listed for this composition ... 0.217 eV per atom
Space-group type ... C2/m (12)
DOS at the Fermi energy ... 19.7 states/eV/f.u.
Uncorrected energy ... -61.8 eV per cell

---

Entry 3:
Density functional theory data (PBE) for Tb4DyY3 after structural relaxation.

a = 3.4832 Å, b = 6.6954 Å, c = 11.8648 Å
α = 106.31°, β = 98.44°, γ = 90.00°
Closest atoms and distances in Å follow each position.
Sites, in units of the cell vectors:
Y 0.0000 0.5000 0.0000  2 Tb 3.28, 4 Y 3.30-3.48
Y 0.1249 0.8822 0.2498  5 Tb 3.26-3.52, 3 Y 3.30-3.48
Y 0.8751 0.1178 0.7502  5 Tb 3.26-3.52, 3 Y 3.30-3.48
Tb 0.7397 0.2421 0.4793  9 Tb 3.48-3.83, 3 Y 3.51-3.52
Tb 0.2603 0.7579 0.5207  9 Tb 3.48-3.83, 3 Y 3.51-3.52
Tb 0.1243 0.3688 0.2486  3 Y 3.26-3.43, 5 Tb 3.48-3.52
Tb 0.8757 0.6312 0.7514  3 Y 3.26-3.43, 5 Tb 3.48-3.52
Dy 0.5000 0.0000 0.0000  2 Dy 3.48, 4 Tb 3.68, 8 Y 3.68-3.77

Computed properties:
Formation energy from the elements ... 0.169 eV per atom
Energy relative to the lowest polymorph listed for this composition ... 0.162 eV per atom
Space-group type ... C2/m (12)
DOS at the Fermi energy ... 14.7 states/eV/f.u.
Uncorrected energy ... -41.2 eV per cell

---

Entry 4:
Density functional theory data (PBE) for Tb14DyY after structural relaxation.

a = 7.1503 Å, b = 7.1503 Å, c = 11.5069 Å
α = 90.00°, β = 90.00°, γ = 119.98°
Closest atoms and distances in Å follow each position.
Sites, in units of the cell vectors:
Tb 0.0418 0.9582 0.0000  12 Tb 3.54-3.58
Tb 0.5418 0.4582 0.0000  12 Tb 3.54-3.58
Tb 0.2080 0.2915 0.5000  8 Tb 3.54-3.58, 2 Dy 3.57-3.58, 2 Y 3.57-3.58
Tb 0.0421 0.4584 0.0000  12 Tb 3.54-3.58
Tb 0.7085 0.7920 0.5000  8 Tb 3.54-3.58, 2 Dy 3.57-3.58, 2 Y 3.57-3.58
Tb 0.5416 0.9579 0.0000  12 Tb 3.54-3.58
Tb 0.3744 0.1246 0.7500  10 Tb 3.54-3.58, 1 Dy 3.54, 1 Y 3.54
Tb 0.3744 0.1246 0.2500  10 Tb 3.54-3.58, 1 Dy 3.54, 1 Y 3.54
Tb 0.8754 0.6256 0.7500  10 Tb 3.54-3.58, 1 Dy 3.54, 1 Y 3.54
Tb 0.8754 0.6256 0.2500  10 Tb 3.54-3.58, 1 Dy 3.54, 1 Y 3.54
Tb 0.3751 0.6249 0.7495  11 Tb 3.54-3.58, 1 Dy 3.54
Tb 0.3751 0.6249 0.2505  11 Tb 3.54-3.58, 1 Dy 3.54
Tb 0.8751 0.1249 0.7503  11 Tb 3.54-3.58, 1 Y 3.55
Tb 0.8751 0.1249 0.2497  11 Tb 3.54-3.58, 1 Y 3.55
Dy 0.2082 0.7918 0.5000  10 Tb 3.54-3.58, 2 Y 3.58
Y 0.7082 0.2918 0.5000  10 Tb 3.54-3.58, 2 Dy 3.58

Computed properties:
Formation energy from the elements ... -0.001 eV per atom
Space-group type ... Amm2 (38)
DOS at the Fermi energy ... 17.4 states/eV/f.u.
Uncorrected energy ... -75.9 eV per cell

---

Entry 5:
Density functional theory data (PBE) for Tb2DyY after structural relaxation.

a = 3.5576 Å, b = 3.5576 Å, c = 10.0715 Å
α = 90.00°, β = 90.00°, γ = 90.00°
Closest atoms and distances in Å follow each position.
Sites, in units of the cell vectors:
Y 0.5000 0.5000 0.5000  4 Y 3.56, 8 Tb 3.57
Tb 0.0000 0.0000 0.7514  4 Dy 3.55, 4 Tb 3.56, 4 Y 3.57
Tb 0.0000 0.0000 0.2486  4 Dy 3.55, 4 Tb 3.56, 4 Y 3.57
Dy 0.5000 0.5000 0.0000  8 Tb 3.55, 4 Dy 3.56

Computed properties:
Formation energy from the elements ... 0.019 eV per atom
Energy relative to the lowest polymorph listed for this composition ... 0.010 eV per atom
Space-group type ... P4/mmm (123)
DOS at the Fermi energy ... 5.1 states/eV/f.u.
Uncorrected energy ... -20.3 eV per cell

---

Entry 6:
Density functional theory data (PBE) for Tb7Dy4Y2 after structural relaxation.

a = 6.0874 Å, b = 6.0874 Å, c = 13.2013 Å
α = 90.00°, β = 90.00°, γ = 120.00°
Closest atoms and distances in Å follow each position.
Sites, in units of the cell vectors:
Tb 0.0000 0.6405 0.7822  1 Dy 3.19, 4 Tb 3.39, 2 Y 3.48
Tb 0.0000 0.3595 0.2178  1 Dy 3.19, 4 Tb 3.39, 2 Y 3.48
Tb 0.0000 0.0000 0.0000  6 Y 3.51, 6 Tb 3.61
Tb 0.6405 0.0000 0.7822  1 Dy 3.19, 4 Tb 3.39, 2 Y 3.48
Tb 0.3595 0.0000 0.2178  1 Dy 3.19, 4 Tb 3.39, 2 Y 3.48
Tb 0.6405 0.6405 0.2178  1 Dy 3.19, 4 Tb 3.39, 2 Y 3.48
Tb 0.3595 0.3595 0.7822  1 Dy 3.19, 4 Tb 3.39, 2 Y 3.48
Dy 0.0000 0.0000 0.6068  1 Dy 2.82
Dy 0.0000 0.0000 0.3932  1 Dy 2.82
Dy 0.6667 0.3333 0.5000  9 Dy 3.51-3.79
Dy 0.3333 0.6667 0.5000  9 Dy 3.51-3.79
Y 0.6667 0.3333 0.0000  9 Tb 3.48-3.51, 3 Y 3.51
Y 0.3333 0.6667 0.0000  9 Tb 3.48-3.51, 3 Y 3.51

Computed properties:
Formation energy from the elements ... 0.170 eV per atom
Space-group type ... P-31m (162)
DOS at the Fermi energy ... 17.5 states/eV/f.u.
Uncorrected energy ... -61.5 eV per cell

---

Entry 7:
Density functional theory data (PBE) for Tb2Dy3Y after structural relaxation.

a = 3.4949 Å, b = 10.1915 Å, c = 11.6740 Å
α = 108.16°, β = 98.61°, γ = 90.00°
Closest atoms and distances in Å follow each position.
Sites, in units of the cell vectors:
Tb 0.6923 0.3720 0.3846  4 Dy 3.36-3.47, 1 Y 3.36, 6 Tb 3.49-3.55
Tb 0.3077 0.6280 0.6153  4 Dy 3.36-3.47, 1 Y 3.36, 6 Tb 3.49-3.55
Tb 0.0694 0.1376 0.1388  5 Tb 3.49-3.54, 4 Dy 3.63-3.78, 2 Y 3.63
Tb 0.9306 0.8624 0.8612  5 Tb 3.49-3.54, 4 Dy 3.63-3.78, 2 Y 3.63
Dy 0.6953 0.7145 0.3906  3 Y 3.37-3.53, 3 Tb 3.46-3.47, 5 Dy 3.48-3.58
Dy 0.9309 0.2335 0.8618  8 Dy 3.49-3.69, 2 Tb 3.63-3.78, 2 Y 3.66
Dy 0.5592 0.4415 0.1184  8 Dy 3.31-3.69, 3 Tb 3.36-3.63
Dy 0.3047 0.2855 0.6094  3 Y 3.37-3.53, 3 Tb 3.46-3.47, 5 Dy 3.48-3.58
Dy 0.4408 0.5585 0.8816  8 Dy 3.31-3.69, 3 Tb 3.36-3.63
Dy 0.0691 0.7665 0.1382  8 Dy 3.49-3.69, 2 Tb 3.63-3.78, 2 Y 3.66
Y 0.6871 0.0384 0.3741  3 Tb 3.36-3.63, 5 Dy 3.37-3.66, 4 Y 3.49-3.68
Y 0.3129 0.9616 0.6259  3 Tb 3.36-3.63, 5 Dy 3.37-3.66, 4 Y 3.49-3.68

Computed properties:
Formation energy from the elements ... 0.122 eV per atom
Energy relative to the lowest polymorph listed for this composition ... 0.114 eV per atom
Space-group type ... C2/m (12)
DOS at the Fermi energy ... 9.8 states/eV/f.u.
Uncorrected energy ... -57.6 eV per cell

---

Entry 8:
Density functional theory data (PBE) for Tb12Dy7Y after structural relaxation.

a = 9.7743 Å, b = 9.7743 Å, c = 9.7743 Å
α = 109.47°, β = 109.47°, γ = 109.47°
Closest atoms and distances in Å follow each position.
Sites, in units of the cell vectors:
Tb 0.4989 0.7494 0.7496  2 Dy 2.82
Tb 0.9998 0.7494 0.2504  2 Dy 2.82
Tb 0.5011 0.2506 0.2504  2 Dy 2.82
Tb 0.0002 0.2506 0.7496  2 Dy 2.82
Tb 0.7496 0.0002 0.2506  2 Dy 2.82
Tb 0.7496 0.4989 0.7494  2 Dy 2.82
Tb 0.2504 0.9998 0.7494  2 Dy 2.82
Tb 0.2504 0.5011 0.2506  2 Dy 2.82
Tb 0.7494 0.7496 0.4989  2 Dy 2.82
Tb 0.2506 0.2504 0.5011  2 Dy 2.82
Tb 0.7494 0.2504 0.9998  2 Dy 2.82
Tb 0.2506 0.7496 0.0002  2 Dy 2.82
Dy 0.5000 0.5000 0.0000  12 Tb 3.98-3.99
Dy 0.0000 0.5000 0.5000  12 Tb 3.98-3.99
Dy 0.5000 0.0000 0.5000  12 Tb 3.98-3.99
Dy 0.5000 0.5000 0.5000  6 Tb 2.82
Dy 0.0000 0.0000 0.5000  6 Tb 2.82
Dy 0.5000 0.0000 0.0000  6 Tb 2.82
Dy 0.0000 0.5000 0.0000  6 Tb 2.82
Y 0.0000 0.0000 0.0000  12 Tb 4.00

Computed properties:
Formation energy from the elements ... 0.698 eV per atom
Energy relative to the lowest polymorph listed for this composition ... 0.405 eV per atom
Space-group type ... Im-3m (229)
DOS at the Fermi energy ... 22.4 states/eV/f.u.
Uncorrected energy ... -80.3 eV per cell

---

Entry 9:
Density functional theory data (PBE) for TbDy6Y after structural relaxation.

a = 5.0214 Å, b = 5.0214 Å, c = 10.0353 Å
α = 90.00°, β = 90.00°, γ = 90.00°
Closest atoms and distances in Å follow each position.
Sites, in units of the cell vectors:
Tb 0.0000 0.0000 0.0000  12 Dy 3.54-3.55
Dy 0.5000 0.5000 0.0000  8 Dy 3.54, 4 Tb 3.55
Dy 0.5000 0.5000 0.5000  4 Y 3.55, 8 Dy 3.55
Dy 0.5000 0.0000 0.2493  8 Dy 3.54-3.55, 2 Tb 3.54, 2 Y 3.55
Dy 0.5000 0.0000 0.7507  8 Dy 3.54-3.55, 2 Tb 3.54, 2 Y 3.55
Dy 0.0000 0.5000 0.2493  2 Tb 3.54, 8 Dy 3.54-3.55, 2 Y 3.55
Dy 0.0000 0.5000 0.7507  2 Tb 3.54, 8 Dy 3.54-3.55, 2 Y 3.55
Y 0.0000 0.0000 0.5000  12 Dy 3.55

Computed properties:
Formation energy from the elements ... 0.021 eV per atom
Energy relative to the lowest polymorph listed for this composition ... 0.000 eV per atom
Space-group type ... P4/mmm (123)
DOS at the Fermi energy ... 12.0 states/eV/f.u.
Uncorrected energy ... -38.5 eV per cell

---

Entry 10:
Density functional theory data (PBE) for TbDy3Y after structural relaxation.

a = 9.6158 Å, b = 5.6328 Å, c = 6.2945 Å
α = 90.00°, β = 70.87°, γ = 90.00°
Closest atoms and distances in Å follow each position.
Sites, in units of the cell vectors:
Tb 0.0993 0.4500 0.3657  8 Dy 3.51-3.64, 2 Tb 3.51, 2 Y 3.64
Tb 0.9007 0.9500 0.6343  8 Dy 3.51-3.64, 2 Tb 3.51, 2 Y 3.64
Dy 0.2997 0.9500 0.4306  6 Dy 3.51-3.65, 3 Tb 3.51-3.62, 3 Y 3.52-3.63
Dy 0.9000 0.4500 0.9667  4 Tb 3.51-3.64, 5 Dy 3.51-3.65, 3 Y 3.52-3.64
Dy 0.4999 0.4500 0.1666  7 Dy 3.51-3.65, 4 Y 3.51-3.64, 1 Tb 3.64
Dy 0.5001 0.9500 0.8334  7 Dy 3.51-3.65, 4 Y 3.51-3.64, 1 Tb 3.64
Dy 0.1000 0.9500 0.0332  4 Tb 3.51-3.64, 5 Dy 3.51-3.65, 3 Y 3.52-3.64
Dy 0.7003 0.4500 0.5694  6 Dy 3.51-3.65, 3 Tb 3.51-3.62, 3 Y 3.52-3.63
Y 0.6992 0.9500 0.2351  10 Dy 3.51-3.64, 2 Tb 3.64
Y 0.3008 0.4500 0.7649  10 Dy 3.51-3.64, 2 Tb 3.64

Computed properties:
Formation energy from the elements ... 0.006 eV per atom
Energy relative to the lowest polymorph listed for this composition ... 0.000 eV per atom
Space-group type ... P2_1/m (11)
DOS at the Fermi energy ... 8.1 states/eV/f.u.
Uncorrected energy ... -49.7 eV per cell

---

Entry 11:
Density functional theory data (PBE) for Tb12DyY3 after structural relaxation.

a = 5.0394 Å, b = 5.0394 Å, c = 20.1364 Å
α = 90.00°, β = 90.00°, γ = 90.00°
Closest atoms and distances in Å follow each position.
Sites, in units of the cell vectors:
Tb 0.5000 0.5000 0.0000  8 Tb 3.55, 4 Dy 3.56
Tb 0.5000 0.5000 0.2496  4 Y 3.56, 8 Tb 3.56-3.57
Tb 0.5000 0.5000 0.5000  4 Y 3.56, 8 Tb 3.57
Tb 0.5000 0.5000 0.7504  4 Y 3.56, 8 Tb 3.56-3.57
Tb 0.5000 0.0000 0.1243  8 Tb 3.55-3.57, 2 Dy 3.55, 2 Y 3.57
Tb 0.5000 0.0000 0.3747  4 Y 3.56-3.57, 8 Tb 3.56-3.57
Tb 0.5000 0.0000 0.6253  4 Y 3.56-3.57, 8 Tb 3.56-3.57
Tb 0.5000 0.0000 0.8757  8 Tb 3.55-3.57, 2 Dy 3.55, 2 Y 3.57
Tb 0.0000 0.5000 0.1243  8 Tb 3.55-3.57, 2 Dy 3.55, 2 Y 3.57
Tb 0.0000 0.5000 0.3747  4 Y 3.56-3.57, 8 Tb 3.56-3.57
Tb 0.0000 0.5000 0.6253  4 Y 3.56-3.57, 8 Tb 3.56-3.57
Tb 0.0000 0.5000 0.8757  2 Dy 3.55, 8 Tb 3.55-3.57, 2 Y 3.57
Dy 0.0000 0.0000 0.0000  12 Tb 3.55-3.56
Y 0.0000 0.0000 0.2496  12 Tb 3.56-3.57
Y 0.0000 0.0000 0.5000  12 Tb 3.56-3.57
Y 0.0000 0.0000 0.7504  12 Tb 3.56-3.57

Computed properties:
Formation energy from the elements ... 0.018 eV per atom
Space-group type ... P4/mmm (123)
DOS at the Fermi energy ... 21.5 states/eV/f.u.
Uncorrected energy ... -79.3 eV per cell

---

Entry 12:
Density functional theory data (PBE) for Tb6Dy3Y after structural relaxation.

a = 6.3733 Å, b = 11.5764 Å, c = 11.5764 Å
α = 130.90°, β = 90.00°, γ = 90.00°
Closest atoms and distances in Å follow each position.
Sites, in units of the cell vectors:
Tb 0.0696 0.7417 0.6208  3 Dy 3.34-3.53, 4 Tb 3.49-3.68, 1 Y 3.73
Tb 0.5696 0.6208 0.7417  3 Dy 3.34-3.53, 4 Tb 3.49-3.68, 1 Y 3.73
Tb 0.3280 0.4564 0.8943  2 Dy 3.27-3.40, 3 Tb 3.37-3.59, 2 Y 3.56-3.65
Tb 0.8280 0.8943 0.4564  2 Dy 3.27-3.40, 3 Tb 3.37-3.59, 2 Y 3.56-3.65
Tb 0.3145 0.9855 0.0145  4 Tb 3.24-3.60, 1 Y 3.32, 4 Dy 3.55-3.57
Tb 0.7924 0.3020 0.6980  1 Dy 3.14, 1 Y 3.30, 2 Tb 3.44
Tb 0.2924 0.6980 0.3020  1 Dy 3.14, 1 Y 3.30, 2 Tb 3.44
Tb 0.8145 0.0145 0.9855  4 Tb 3.24-3.60, 1 Y 3.32, 4 Dy 3.55-3.57
Tb 0.3280 0.1057 0.5436  2 Dy 3.27-3.40, 3 Tb 3.37-3.59, 2 Y 3.56-3.65
Tb 0.8280 0.5436 0.1057  2 Dy 3.27-3.40, 3 Tb 3.37-3.59, 2 Y 3.56-3.65
Tb 0.0696 0.3792 0.2583  3 Dy 3.34-3.53, 4 Tb 3.49-3.68, 1 Y 3.73
Tb 0.5696 0.2583 0.3792  3 Dy 3.34-3.53, 4 Tb 3.49-3.68, 1 Y 3.73
Dy 0.4884 0.9581 0.7038  2 Dy 3.25-3.40, 5 Tb 3.27-3.57, 1 Y 3.51
Dy 0.9884 0.7038 0.9581  2 Dy 3.25-3.40, 5 Tb 3.27-3.57, 1 Y 3.51
Dy 0.0931 0.4203 0.5797  3 Tb 3.14-3.43, 2 Dy 3.40
Dy 0.5931 0.5797 0.4203  3 Tb 3.14-3.43, 2 Dy 3.40
Dy 0.9884 0.0419 0.2962  2 Dy 3.25-3.40, 5 Tb 3.27-3.57, 1 Y 3.51
Dy 0.4884 0.2962 0.0419  2 Dy 3.25-3.40, 5 Tb 3.27-3.57, 1 Y 3.51
Y 0.0133 0.1602 0.8398  6 Tb 3.30-3.65, 2 Dy 3.51
Y 0.5133 0.8398 0.1602  6 Tb 3.30-3.65, 2 Dy 3.51

Computed properties:
Formation energy from the elements ... 0.123 eV per atom
Energy relative to the lowest polymorph listed for this composition ... 0.000 eV per atom
Space-group type ... Cmc2_1 (36)
DOS at the Fermi energy ... 16.4 states/eV/f.u.
Uncorrected energy ... -93.6 eV per cell